Here is a relaxed LaVFeO6 crystal from the Alexandria database. Energies are from GGA+U.

Spin magnetization: 0.669 μB per atom
Space group: Pc (7)
Calculated total energy: -131.25 eV/cell
Fermi-level density of states: 3.92 states/eV/cell

Structure (CIF):
```
data_LaVFeO6
_space_group_name_H-M_alt 'P 1'
_space_group_IT_number 1
_cell_length_a 5.406
_cell_length_b 5.582
_cell_length_c 9.404
_cell_angle_alpha 90.00
_cell_angle_beta 125.05
_cell_angle_gamma 90.00
loop_
_space_group_symop_operation_xyz
'x,y,z'
loop_
_atom_site_label
_atom_site_fract_x
_atom_site_fract_y
_atom_site_fract_z
La1 0.000 0.202 0.000
La2 0.000 0.798 0.500
V1 0.254 0.279 0.747
V2 0.254 0.721 0.247
Fe1 0.754 0.257 0.251
Fe2 0.754 0.743 0.751
O1 0.017 0.484 0.228
O2 0.017 0.516 0.728
O3 0.046 0.241 0.510
O4 0.046 0.759 0.010
O5 0.455 0.250 0.994
O6 0.455 0.750 0.494
O7 0.500 0.012 0.266
O8 0.500 0.988 0.766
O9 0.556 0.461 0.777
O10 0.556 0.539 0.277
O11 0.988 0.018 0.740
O12 0.988 0.982 0.240
```